{
  "formula": "CdRh2Se",
  "functional": "PBE",
  "state": "optimized geometry",
  "rho_g_cm3": 9.7,
  "energy_ev_per_atom": -4.6926,
  "m_tot_mub_per_fu": 0.0,
  "cell": [[-0.694, -4.284, 2.162], [1.151, -3.177, -3.478], [2.402, 3.631, 2.135]],
  "species": ["Cd", "Rh", "Rh", "Se"],
  "frac_coords": [[0.250, 0.750, 0.500], [0.958, 0.958, 0.000], [0.542, 0.542, 0.000], [0.750, 0.250, 0.500]]
}